First-principles (PBE) data for a relaxed structure of Pm2DyIr, as listed in the Alexandria database.

a = 6.4039 Å, b = 6.8451 Å, c = 11.6125 Å
α = 89.99°, β = 90.00°, γ = 90.00°
Atoms (fractional coordinates):
Pm (0.2520, 0.0886, 0.0859)
Pm (0.7522, 0.9113, 0.5859)
Pm (0.7520, 0.4114, 0.4141)
Pm (0.7480, 0.9114, 0.9141)
Pm (0.2480, 0.5886, 0.5859)
Pm (0.2478, 0.0887, 0.4141)
Pm (0.7478, 0.4113, 0.0859)
Pm (0.2522, 0.5887, 0.9141)
Ir (0.5000, 0.2500, 0.9087)
Ir (0.5000, 0.7500, 0.0913)
Ir (0.0000, 0.7500, 0.4087)
Ir (0.0000, 0.2500, 0.5913)
Dy (0.2502, 0.0689, 0.7499)
Dy (0.7498, 0.9311, 0.2501)
Dy (0.7502, 0.4311, 0.7501)
Dy (0.2498, 0.5689, 0.2499)

D(E_F), states/eV/f.u.: 3.50
Formation energy, eV per formula unit: -1.63
Offset from the most stable computed form, eV/atom: 0.093
Size of the total moment, μB/f.u.: 0.000
Symmetry: No. 52

---

First-principles (PBE) data for a relaxed structure of CaCeTe2, as listed in the Alexandria database.

a = 4.4961 Å, b = 4.4961 Å, c = 22.2073 Å
α = 90.00°, β = 90.00°, γ = 120.00°
Atoms (fractional coordinates):
Ca (0.6667, 0.3333, 0.3341)
Ca (0.3333, 0.6667, 0.6659)
Ca (0.0000, 0.0000, 0.5000)
Te (0.6667, 0.3333, 0.0822)
Te (0.3333, 0.6667, 0.9178)
Te (0.6667, 0.3333, 0.5832)
Te (0.0000, 0.0000, 0.2509)
Te (0.3333, 0.6667, 0.4168)
Te (0.0000, 0.0000, 0.7491)
Ce (0.0000, 0.0000, 0.0000)
Ce (0.3333, 0.6667, 0.1630)
Ce (0.6667, 0.3333, 0.8370)

D(E_F), states/eV/f.u.: 7.41
Offset from the most stable computed form, eV/atom: 0.000
Size of the total moment, μB/f.u.: 1.205
Symmetry: No. 164
Formation energy (no corrections), eV per atom: -1.494

---

First-principles (PBE) data for a relaxed structure of Cr3HgPd, as listed in the Alexandria database.

a = 4.8868 Å, b = 4.8868 Å, c = 4.8868 Å
α = 90.00°, β = 90.00°, γ = 90.00°
Atoms (fractional coordinates):
Hg (0.5000, 0.5000, 0.5000)
Cr (0.0000, 0.0000, 0.5000)
Cr (0.0000, 0.5000, 0.0000)
Cr (0.5000, 0.0000, 0.0000)
Pd (0.0000, 0.0000, 0.0000)

D(E_F), states/eV/f.u.: 3.05
Formation energy, eV per formula unit: 5.74
Offset from the most stable computed form, eV/atom: 0.000
Size of the total moment, μB/f.u.: 12.633
Symmetry: No. 221

---

First-principles (PBE) data for a relaxed structure of LuGaNi2, as listed in the Alexandria database.

a = 5.1157 Å, b = 5.1157 Å, c = 16.1541 Å
α = 90.00°, β = 90.00°, γ = 120.00°
Atoms (fractional coordinates):
Lu (0.6667, 0.3333, 0.4629)
Lu (0.6667, 0.3333, 0.0346)
Lu (0.6667, 0.3333, 0.2608)
Lu (0.3333, 0.6667, 0.7392)
Lu (0.3333, 0.6667, 0.5371)
Lu (0.3333, 0.6667, 0.9654)
Ni (0.3333, 0.6667, 0.2580)
Ni (0.1676, 0.3351, 0.3788)
Ni (0.0000, 0.0000, 0.5000)
Ni (0.8324, 0.1676, 0.6212)
Ni (0.6649, 0.8324, 0.3788)
Ni (0.6667, 0.3333, 0.7420)
Ni (0.3351, 0.1676, 0.6212)
Ni (0.1676, 0.8324, 0.3788)
Ni (0.8324, 0.6649, 0.6212)
Ni (0.0000, 0.0000, 0.2563)
Ni (0.0000, 0.0000, 0.0000)
Ni (0.0000, 0.0000, 0.7437)
Ga (0.6661, 0.8331, 0.1333)
Ga (0.8331, 0.6661, 0.8667)
Ga (0.3339, 0.1669, 0.8667)
Ga (0.1669, 0.3339, 0.1333)
Ga (0.1669, 0.8331, 0.1333)
Ga (0.8331, 0.1669, 0.8667)

D(E_F), states/eV/f.u.: 2.88
Formation energy, eV per formula unit: -1.87
Size of the total moment, μB/f.u.: 0.000
Symmetry: No. 164

---

First-principles (PBE) data for a relaxed structure of Cs2TiCuF6, as listed in the Alexandria database.

a = 6.8268 Å, b = 6.8268 Å, c = 6.2500 Å
α = 56.90°, β = 56.90°, γ = 90.00°
Atoms (fractional coordinates):
F (0.7039, 0.7039, 0.0000)
F (0.7039, 0.2961, 0.0000)
F (0.2961, 0.2961, 0.0000)
F (0.7632, 0.7632, 0.4736)
F (0.2961, 0.7039, 0.0000)
F (0.2368, 0.2368, 0.5264)
Cu (0.0000, 0.0000, 0.0000)
Cs (0.7500, 0.2500, 0.5000)
Cs (0.2500, 0.7500, 0.5000)
Ti (0.5000, 0.5000, 0.0000)

D(E_F), states/eV/f.u.: 11.95
Size of the total moment, μB/f.u.: 1.000
Symmetry: No. 139
Formation energy (no corrections), eV per atom: -2.666

---

First-principles (PBE) data for a relaxed structure of FeTc, as listed in the Alexandria database.

a = 2.6134 Å, b = 4.9898 Å, c = 4.0126 Å
α = 90.00°, β = 90.00°, γ = 105.18°
Atoms (fractional coordinates):
Tc (0.8323, 0.6647, 0.7500)
Tc (0.1677, 0.3353, 0.2500)
Fe (0.5644, 0.1287, 0.7500)
Fe (0.4356, 0.8713, 0.2500)

D(E_F), states/eV/f.u.: 2.68
Formation energy, eV per formula unit: 0.15
Size of the total moment, μB/f.u.: 0.932
Symmetry: No. 63

---

First-principles (PBE) data for a relaxed structure of Tb2Ni15Pt2, as listed in the Alexandria database.

a = 6.3388 Å, b = 6.3388 Å, c = 6.3388 Å
α = 83.14°, β = 83.14°, γ = 83.14°
Atoms (fractional coordinates):
Ni (0.0000, 0.7037, 0.2963)
Ni (0.7037, 0.0000, 0.2963)
Ni (0.6515, 0.1593, 0.6515)
Ni (0.0000, 0.0000, 0.5000)
Ni (0.1593, 0.6515, 0.6515)
Ni (0.2963, 0.7037, 0.0000)
Ni (0.8407, 0.3485, 0.3485)
Ni (0.3485, 0.3485, 0.8407)
Ni (0.0000, 0.2963, 0.7037)
Ni (0.2963, 0.0000, 0.7037)
Ni (0.0000, 0.5000, 0.0000)
Ni (0.3485, 0.8407, 0.3485)
Ni (0.6515, 0.6515, 0.1593)
Ni (0.5000, 0.0000, 0.0000)
Ni (0.7037, 0.2963, 0.0000)
Pt (0.8914, 0.8914, 0.8914)
Pt (0.1086, 0.1086, 0.1086)
Tb (0.3439, 0.3439, 0.3439)
Tb (0.6561, 0.6561, 0.6561)

D(E_F), states/eV/f.u.: 25.10
Formation energy, eV per formula unit: -4.66
Size of the total moment, μB/f.u.: 6.948
Symmetry: No. 166

---

First-principles (PBE) data for a relaxed structure of La3Nd2Tm2, as listed in the Alexandria database.

a = 3.6690 Å, b = 12.0449 Å, c = 6.3237 Å
α = 69.82°, β = 73.14°, γ = 98.79°
Atoms (fractional coordinates):
La (0.5733, 0.4297, 0.2848)
La (0.4267, 0.5703, 0.7152)
La (0.0000, 0.0000, 0.0000)
Tm (0.7139, 0.2854, 0.8576)
Tm (0.2861, 0.7146, 0.1424)
Nd (0.1402, 0.8563, 0.5766)
Nd (0.8598, 0.1437, 0.4234)

D(E_F), states/eV/f.u.: 10.47
Formation energy, eV per formula unit: 0.16
Offset from the most stable computed form, eV/atom: 0.000
Size of the total moment, μB/f.u.: 0.000
Symmetry: No. 2

---

First-principles (PBE) data for a relaxed structure of CsBiPb2Se4, as listed in the Alexandria database.

a = 8.9821 Å, b = 8.9821 Å, c = 8.8886 Å
α = 119.66°, β = 119.66°, γ = 89.47°
Atoms (fractional coordinates):
Se (0.7395, 0.7606, 0.9892)
Se (0.2672, 0.7860, 0.0266)
Se (0.7140, 0.2329, 0.4734)
Se (0.2605, 0.2394, 0.0108)
Se (0.7329, 0.2140, 0.9734)
Se (0.7394, 0.7605, 0.5108)
Se (0.2606, 0.2395, 0.4892)
Se (0.2860, 0.7671, 0.5266)
Bi (0.0000, 0.0000, 0.0000)
Bi (0.5000, 0.5000, 0.5000)
Pb (0.5000, 0.5000, 0.0000)
Pb (0.0000, 0.0000, 0.5000)
Pb (0.5000, 0.0000, 0.0000)
Pb (0.5000, 0.0000, 0.5000)
Cs (0.0000, 0.5000, 0.0000)
Cs (0.0000, 0.5000, 0.5000)

D(E_F), states/eV/f.u.: 1.89
Size of the total moment, μB/f.u.: 0.000
Symmetry: No. 74
Formation energy (no corrections), eV per atom: -0.529

---

First-principles (PBE) data for a relaxed structure of AcYTe2O, as listed in the Alexandria database.

a = 4.3524 Å, b = 4.3524 Å, c = 15.8175 Å
α = 90.00°, β = 90.00°, γ = 90.00°
Atoms (fractional coordinates):
O (0.5000, 0.5000, 0.5000)
O (0.0000, 0.0000, 0.5000)
Ac (0.5000, 0.0000, 0.5780)
Ac (0.0000, 0.5000, 0.4220)
Y (0.5000, 0.0000, 0.1205)
Y (0.0000, 0.5000, 0.8795)
Te (0.0000, 0.5000, 0.0873)
Te (0.0000, 0.5000, 0.6993)
Te (0.5000, 0.0000, 0.9127)
Te (0.5000, 0.0000, 0.3007)

D(E_F), states/eV/f.u.: 1.34
Size of the total moment, μB/f.u.: 0.000
Symmetry: No. 129
Formation energy (no corrections), eV per atom: -2.142

---

First-principles (PBE) data for a relaxed structure of CaLa3Ir, as listed in the Alexandria database.

a = 6.8261 Å, b = 7.7813 Å, c = 7.0725 Å
α = 91.70°, β = 99.80°, γ = 72.46°
Atoms (fractional coordinates):
Ca (0.0475, 0.8177, 0.9129)
Ca (0.0720, 0.3236, 0.9064)
Ir (0.3218, 0.3027, 0.2939)
Ir (0.3195, 0.9784, 0.7662)
La (0.5595, 0.6647, 0.6162)
La (0.0675, 0.0992, 0.4084)
La (0.5446, 0.9614, 0.1437)
La (0.5638, 0.4741, 0.1347)
La (0.0402, 0.6155, 0.4112)
La (0.5642, 0.1818, 0.6573)

D(E_F), states/eV/f.u.: 4.78
Formation energy, eV per formula unit: -1.60
Offset from the most stable computed form, eV/atom: 0.030
Size of the total moment, μB/f.u.: 0.000
Symmetry: No. 1

---

First-principles (PBE) data for a relaxed structure of RbTa2SnI, as listed in the Alexandria database.

a = 5.3189 Å, b = 7.1622 Å, c = 5.3189 Å
α = 90.00°, β = 90.00°, γ = 90.00°
Atoms (fractional coordinates):
I (0.0000, 0.5000, 0.0000)
Ta (0.5000, 0.0000, 0.0000)
Ta (0.0000, 0.0000, 0.5000)
Rb (0.5000, 0.5000, 0.5000)
Sn (0.0000, 0.0000, 0.0000)

D(E_F), states/eV/f.u.: 6.20
Size of the total moment, μB/f.u.: 5.117
Symmetry: No. 123
Formation energy (no corrections), eV per atom: 1.451

---

First-principles (PBE) data for a relaxed structure of Li2TmTeS4, as listed in the Alexandria database.

a = 7.5820 Å, b = 7.5820 Å, c = 7.7313 Å
α = 117.45°, β = 117.45°, γ = 88.73°
Atoms (fractional coordinates):
S (0.2261, 0.2181, 0.9615)
S (0.2308, 0.7323, 0.4625)
S (0.2819, 0.2739, 0.5385)
S (0.7692, 0.2677, 0.5375)
S (0.2323, 0.7308, 0.9625)
S (0.7181, 0.7261, 0.4615)
S (0.7677, 0.2692, 0.0375)
S (0.7739, 0.7819, 0.0385)
Li (0.0000, 0.0000, 0.5000)
Li (0.5000, 0.0000, 0.0000)
Li (0.5000, 0.5000, 0.0000)
Li (0.5000, 0.0000, 0.5000)
Te (0.5000, 0.5000, 0.5000)
Te (0.0000, 0.0000, 0.0000)
Tm (0.0000, 0.5000, 0.0000)
Tm (0.0000, 0.5000, 0.5000)

D(E_F), states/eV/f.u.: 1.37
Size of the total moment, μB/f.u.: 0.000
Symmetry: No. 15
Formation energy (no corrections), eV per atom: -1.075

---

First-principles (PBE) data for a relaxed structure of BaAgSbTe3, as listed in the Alexandria database.

a = 4.5594 Å, b = 9.2988 Å, c = 10.0695 Å
α = 103.75°, β = 90.00°, γ = 90.00°
Atoms (fractional coordinates):
Ba (0.2500, 0.1863, 0.2578)
Ba (0.7500, 0.8137, 0.7422)
Sb (0.7500, 0.3305, 0.8545)
Sb (0.2500, 0.6695, 0.1455)
Te (0.2500, 0.5561, 0.8391)
Te (0.7500, 0.2458, 0.5298)
Te (0.2500, 0.7542, 0.4702)
Te (0.7500, 0.4439, 0.1609)
Te (0.7500, 0.8874, 0.1176)
Te (0.2500, 0.1126, 0.8824)
Ag (0.2500, 0.0738, 0.5847)
Ag (0.7500, 0.9262, 0.4153)

D(E_F), states/eV/f.u.: 0.04
Size of the total moment, μB/f.u.: 0.000
Symmetry: No. 11
Formation energy (no corrections), eV per atom: -0.658

---

First-principles (PBE) data for a relaxed structure of Na3PrI6, as listed in the Alexandria database.

a = 9.5587 Å, b = 9.5587 Å, c = 9.5587 Å
α = 91.08°, β = 91.08°, γ = 91.08°
Atoms (fractional coordinates):
I (0.9216, 0.0892, 0.3081)
I (0.3081, 0.9216, 0.0892)
I (0.8125, 0.4496, 0.5912)
I (0.0784, 0.9108, 0.6919)
I (0.6919, 0.0784, 0.9108)
I (0.5912, 0.8125, 0.4496)
I (0.4496, 0.5912, 0.8125)
I (0.1875, 0.5504, 0.4088)
I (0.0892, 0.3081, 0.9216)
I (0.4088, 0.1875, 0.5504)
I (0.9108, 0.6919, 0.0784)
I (0.5504, 0.4088, 0.1875)
Na (0.4250, 0.9180, 0.7558)
Na (0.0820, 0.2442, 0.5750)
Na (0.5750, 0.0820, 0.2442)
Na (0.9180, 0.7558, 0.4250)
Na (0.7558, 0.4250, 0.9180)
Na (0.2442, 0.5750, 0.0820)
Pr (0.5000, 0.5000, 0.5000)
Pr (0.0000, 0.0000, 0.0000)

D(E_F), states/eV/f.u.: 0.00
Offset from the most stable computed form, eV/atom: 0.000
Size of the total moment, μB/f.u.: 0.000
Symmetry: No. 148
Formation energy (no corrections), eV per atom: -1.299

---

First-principles (PBE) data for a relaxed structure of Th6Ge5Sb, as listed in the Alexandria database.

a = 7.5182 Å, b = 7.5182 Å, c = 7.5164 Å
α = 99.61°, β = 99.61°, γ = 119.96°
Atoms (fractional coordinates):
Th (0.5709, 0.9143, 0.7433)
Th (0.7413, 0.7413, 0.2543)
Th (0.9143, 0.5709, 0.7433)
Th (0.2587, 0.2587, 0.7457)
Th (0.4291, 0.0857, 0.2567)
Th (0.0857, 0.4291, 0.2567)
Ge (0.6674, 0.3326, 0.0000)
Ge (0.1626, 0.8374, 0.5000)
Ge (0.5000, 0.5000, 0.5000)
Ge (0.8374, 0.1626, 0.5000)
Ge (0.3326, 0.6674, 0.0000)
Sb (0.0000, 0.0000, 0.0000)

D(E_F), states/eV/f.u.: 4.29
Size of the total moment, μB/f.u.: 0.000
Symmetry: No. 12
Formation energy (no corrections), eV per atom: -0.808

---

First-principles (PBE) data for a relaxed structure of Cu3PRu, as listed in the Alexandria database.

a = 4.5711 Å, b = 4.5711 Å, c = 4.5711 Å
α = 90.00°, β = 90.00°, γ = 90.00°
Atoms (fractional coordinates):
Cu (0.5000, 0.0000, 0.0000)
Cu (0.0000, 0.5000, 0.0000)
Cu (0.0000, 0.0000, 0.5000)
Ru (0.0000, 0.0000, 0.0000)
P (0.5000, 0.5000, 0.5000)

D(E_F), states/eV/f.u.: 5.24
Formation energy, eV per formula unit: 7.75
Offset from the most stable computed form, eV/atom: 0.895
Size of the total moment, μB/f.u.: 0.000
Symmetry: No. 221

---

First-principles (PBE) data for a relaxed structure of Li2YSb, as listed in the Alexandria database.

a = 5.0081 Å, b = 5.0081 Å, c = 5.0081 Å
α = 120.14°, β = 120.09°, γ = 89.80°
Atoms (fractional coordinates):
Li (0.2501, 0.7501, 0.5000)
Li (0.0001, 0.0001, 0.0000)
Y (0.7500, 0.2500, 0.5000)
Sb (0.4998, 0.4998, 0.0000)

D(E_F), states/eV/f.u.: 1.33
Size of the total moment, μB/f.u.: 0.000
Symmetry: No. 119
Formation energy (no corrections), eV per atom: -0.442

---

First-principles (PBE) data for a relaxed structure of BaNa2ZnB, as listed in the Alexandria database.

a = 5.2871 Å, b = 5.6233 Å, c = 5.2871 Å
α = 90.00°, β = 90.00°, γ = 90.00°
Atoms (fractional coordinates):
Zn (0.5000, 0.5000, 0.5000)
Na (0.5000, 0.0000, 0.0000)
Na (0.0000, 0.0000, 0.5000)
B (0.0000, 0.0000, 0.0000)
Ba (0.0000, 0.5000, 0.0000)

D(E_F), states/eV/f.u.: 3.06
Formation energy, eV per formula unit: 2.79
Size of the total moment, μB/f.u.: 0.000
Symmetry: No. 123

---

First-principles (PBE) data for a relaxed structure of CdSnP2O8, as listed in the Alexandria database.

a = 4.9091 Å, b = 4.9091 Å, c = 7.1729 Å
α = 90.00°, β = 90.00°, γ = 120.00°
Atoms (fractional coordinates):
P (0.3333, 0.6667, 0.7569)
P (0.6667, 0.3333, 0.2431)
O (0.0590, 0.3460, 0.6844)
O (0.9410, 0.6540, 0.3156)
O (0.3460, 0.2870, 0.3156)
O (0.6667, 0.3333, 0.0312)
O (0.2870, 0.9410, 0.6844)
O (0.6540, 0.7130, 0.6844)
O (0.7130, 0.0590, 0.3156)
O (0.3333, 0.6667, 0.9688)
Sn (0.0000, 0.0000, 0.5000)
Cd (0.0000, 0.0000, 0.0000)

D(E_F), states/eV/f.u.: 0.00
Size of the total moment, μB/f.u.: 0.000
Symmetry: No. 147
Formation energy (no corrections), eV per atom: -1.817

---

First-principles (PBE) data for a relaxed structure of Rb3ZrNp2Se6, as listed in the Alexandria database.

a = 7.2365 Å, b = 7.2365 Å, c = 8.3931 Å
α = 98.27°, β = 98.27°, γ = 120.00°
Atoms (fractional coordinates):
Se (0.9349, 0.6146, 0.8046)
Se (0.2548, 0.2548, 0.8040)
Se (0.6146, 0.9349, 0.8046)
Se (0.0651, 0.3854, 0.1954)
Se (0.3854, 0.0651, 0.1954)
Se (0.7452, 0.7452, 0.1960)
Rb (0.5000, 0.5000, 0.5000)
Rb (0.8314, 0.1686, 0.5000)
Rb (0.1686, 0.8314, 0.5000)
Np (0.3335, 0.6665, 0.0000)
Np (0.6665, 0.3335, 0.0000)
Zr (0.0000, 0.0000, 0.0000)

D(E_F), states/eV/f.u.: 21.02
Size of the total moment, μB/f.u.: 9.012
Symmetry: No. 12
Formation energy (no corrections), eV per atom: -1.257